1.
The following is a PBE calculation of an optimized crystal structure of KSrTa, from Alexandria.

formation energy from the elements = 326.2 kJ/mol of formula units
uncorrected energy = -3.751 eV per atom
total magnetization = 0.8 μB per cell
crystal system = tetragonal
ΔE to the lowest computed polymorph = 727 meV/atom

Cell lengths 3.281, 3.281, 18.821 Å; angles 90.00, 90.00, 90.00 degrees
Fractional coordinates of all 6 atoms:
K 0.000 0.000 0.000
K 0.500 0.500 0.500
Sr 0.000 0.000 0.715
Sr 0.500 0.500 0.215
Ta 0.000 0.000 0.341
Ta 0.500 0.500 0.841

---

2.
The following is a PBE calculation of an optimized crystal structure of Ac2H4I, from Alexandria.

uncorrected energy = -4.064 eV per atom
total magnetization = 0.0 μB per cell
crystal system = trigonal

Cell lengths 9.066, 9.066, 9.066 Å; angles 26.82, 26.82, 26.82 degrees
Fractional coordinates of all 7 atoms:
Ac 0.231 0.231 0.231
Ac 0.769 0.769 0.769
H 0.136 0.136 0.136
H 0.422 0.422 0.422
H 0.578 0.578 0.578
H 0.864 0.864 0.864
I 0.000 0.000 0.000

---

3.
The following is a PBE calculation of an optimized crystal structure of SrAs2Pt, from Alexandria.

formation energy from the elements = -135.8 kJ/mol of formula units
uncorrected energy = -4.607 eV per atom
total magnetization = 0.0 μB per cell
crystal system = tetragonal

Cell lengths 3.601, 3.601, 6.803 Å; angles 90.00, 90.00, 90.00 degrees
Fractional coordinates of all 4 atoms:
Sr 0.000 0.000 0.000
As 0.000 0.000 0.529
As 0.500 0.500 0.285
Pt 0.500 0.500 0.661

---

4.
The following is a PBE calculation of an optimized crystal structure of Tb3Ho6ErTm2, from Alexandria.

formation energy from the elements = 22.9 kJ/mol of formula units
uncorrected energy = -4.552 eV per atom
total magnetization = 0.0 μB per cell
crystal system = monoclinic

Cell lengths 6.090, 6.090, 11.654 Å; angles 94.99, 94.99, 119.95 degrees
Fractional coordinates of all 12 atoms:
Tb 0.000 0.000 0.000
Tb 0.333 0.667 0.000
Tb 0.667 0.333 0.000
Ho 0.084 0.417 0.252
Ho 0.249 0.249 0.748
Ho 0.417 0.084 0.252
Ho 0.583 0.916 0.748
Ho 0.751 0.751 0.252
Ho 0.916 0.583 0.748
Er 0.500 0.500 0.500
Tm 0.167 0.833 0.500
Tm 0.833 0.167 0.500

---

5.
The following is a PBE calculation of an optimized crystal structure of Tm8Ga2Ge, from Alexandria.

formation energy from the elements = -370.4 kJ/mol of formula units
uncorrected energy = -4.571 eV per atom
total magnetization = 0.0 μB per cell
crystal system = monoclinic

Cell lengths 9.566, 9.566, 6.555 Å; angles 102.28, 102.28, 29.33 degrees
Fractional coordinates of all 11 atoms:
Tm 0.028 0.028 0.272
Tm 0.214 0.214 0.819
Tm 0.344 0.344 0.519
Tm 0.409 0.409 0.043
Tm 0.591 0.591 0.957
Tm 0.656 0.656 0.481
Tm 0.786 0.786 0.181
Tm 0.972 0.972 0.728
Ga 0.187 0.187 0.256
Ga 0.813 0.813 0.744
Ge 0.500 0.500 0.500

---

6.
The following is a PBE calculation of an optimized crystal structure of Cs2TiAgI6, from Alexandria.

energy relative to the elements, uncorrected = -0.935 eV per atom
uncorrected energy = -3.111 eV per atom
total magnetization = 1.0 μB per cell
crystal system = cubic
ΔE to the lowest computed polymorph = 18 meV/atom

Cell lengths 8.344, 8.344, 8.344 Å; angles 60.00, 60.00, 60.00 degrees
Fractional coordinates of all 10 atoms:
Cs 0.250 0.250 0.250
Cs 0.750 0.750 0.750
Ti 0.000 0.000 0.000
Ag 0.500 0.500 0.500
I 0.241 0.241 0.759
I 0.241 0.759 0.241
I 0.241 0.759 0.759
I 0.759 0.241 0.241
I 0.759 0.241 0.759
I 0.759 0.759 0.241